Entry 1:
Here is TlAs after structural relaxation from the Alexandria database. Energies are from PBE-GGA. Values from VASP.

Quantum ESPRESSO input file:
```
&SYSTEM
  ibrav = 0, nat = 4, ntyp = 2
/
ATOMIC_SPECIES
Tl 204.38 Tl.upf
As 74.92 As.upf
CELL_PARAMETERS angstrom
3.0358 0.0000 0.0000
0.0000 5.7662 0.0000
-0.1199 0.0000 5.8204
ATOMIC_POSITIONS crystal
Tl 0.0519 0.2500 0.2505
Tl 0.9481 0.7500 0.7495
As 0.2312 0.2500 0.7517
As 0.7688 0.7500 0.2483
```

Results
- Space-group type: P2_1/m, No. 11
- Final energy: -3.279 eV/atom
- M_tot: 0.0 Bohr magnetons per cell
- ΔH_f (0 K): 0.23 eV/atom

Entry 2:
Here is Tl4As after structural relaxation from the Alexandria database. Energies are from PBE-GGA. Values from VASP.

Quantum ESPRESSO input file:
```
&SYSTEM
  ibrav = 0, nat = 5, ntyp = 2
/
ATOMIC_SPECIES
Tl 204.38 Tl.upf
As 74.92 As.upf
CELL_PARAMETERS angstrom
-3.5124 3.5124 3.5124
3.5124 -3.5124 3.5124
3.5124 3.5124 -3.5124
ATOMIC_POSITIONS crystal
Tl 0.0000 0.0000 0.5000
Tl 0.0000 0.5000 0.0000
Tl 0.5000 0.0000 0.0000
Tl 0.5000 0.5000 0.5000
As 0.0000 0.0000 0.0000
```

Results
- Space-group type: Im-3m, No. 229
- Final energy: -2.637 eV/atom
- M_tot: 0.0 Bohr magnetons per cell
- ΔH_f (0 K): 0.19 eV/atom
- Energy above the lowest structure with this stoichiometry: 179.5 meV per atom

Entry 3:
Here is TlAs2 after structural relaxation from the Alexandria database. Energies are from PBE-GGA. Values from VASP.

Quantum ESPRESSO input file:
```
&SYSTEM
  ibrav = 0, nat = 3, ntyp = 2
/
ATOMIC_SPECIES
Tl 204.38 Tl.upf
As 74.92 As.upf
CELL_PARAMETERS angstrom
3.6329 0.0000 0.0000
-1.8164 3.1462 0.0000
0.0000 0.0000 6.9924
ATOMIC_POSITIONS crystal
Tl 0.0000 0.0000 0.0000
As 0.3333 0.6667 0.3983
As 0.6667 0.3333 0.6017
```

Results
- Space-group type: P-3m1, No. 164
- Final energy: -3.871 eV/atom
- M_tot: 0.0 Bohr magnetons per cell
- ΔH_f (0 K): 0.02 eV/atom

Entry 4:
Here is Tl4As after structural relaxation from the Alexandria database. Energies are from PBE-GGA. Values from VASP.

Quantum ESPRESSO input file:
```
&SYSTEM
  ibrav = 0, nat = 10, ntyp = 2
/
ATOMIC_SPECIES
Tl 204.38 Tl.upf
As 74.92 As.upf
CELL_PARAMETERS angstrom
6.6747 0.0000 0.0000
0.0000 6.9089 0.0000
-0.1868 0.0000 6.8517
ATOMIC_POSITIONS crystal
Tl 0.2313 0.0695 0.4233
Tl 0.2313 0.9305 0.9233
Tl 0.2339 0.4280 0.0692
Tl 0.2339 0.5720 0.5692
Tl 0.7661 0.4280 0.4308
Tl 0.7661 0.5720 0.9308
Tl 0.7687 0.0695 0.0767
Tl 0.7687 0.9305 0.5767
As 0.5000 0.2512 0.7500
As 0.5000 0.7488 0.2500
```

Results
- Space-group type: P2/c, No. 13
- Final energy: -2.816 eV/atom
- M_tot: 0.0 Bohr magnetons per cell
- ΔH_f (0 K): 0.01 eV/atom
- Energy above the lowest structure with this stoichiometry: 0.0 meV per atom

Entry 5:
Here is Tl3As after structural relaxation from the Alexandria database. Energies are from PBE-GGA. Values from VASP.

Quantum ESPRESSO input file:
```
&SYSTEM
  ibrav = 0, nat = 4, ntyp = 2
/
ATOMIC_SPECIES
Tl 204.38 Tl.upf
As 74.92 As.upf
CELL_PARAMETERS angstrom
4.8389 0.0000 0.0000
0.0000 4.8389 0.0000
0.0000 0.0000 4.8389
ATOMIC_POSITIONS crystal
Tl 0.0000 0.0000 0.5000
Tl 0.0000 0.5000 0.0000
Tl 0.5000 0.0000 0.0000
As 0.5000 0.5000 0.5000
```

Results
- Space-group type: Pm-3m, No. 221
- Final energy: -2.849 eV/atom
- M_tot: 0.0 Bohr magnetons per cell
- ΔH_f (0 K): 0.09 eV/atom

Entry 6:
Here is TlAs after structural relaxation from the Alexandria database. Energies are from PBE-GGA. Values from VASP.

Quantum ESPRESSO input file:
```
&SYSTEM
  ibrav = 0, nat = 2, ntyp = 2
/
ATOMIC_SPECIES
Tl 204.38 Tl.upf
As 74.92 As.upf
CELL_PARAMETERS angstrom
1.5870 0.9162 5.8851
-1.5870 0.9162 5.8851
0.0000 -1.8325 5.8851
ATOMIC_POSITIONS crystal
Tl 0.0000 0.0000 0.0000
As 0.5000 0.5000 0.5000
```

Results
- Space-group type: R-3m, No. 166
- Final energy: -3.154 eV/atom
- M_tot: 0.0 Bohr magnetons per cell
- ΔH_f (0 K): 0.35 eV/atom

Entry 7:
Here is TlAs after structural relaxation from the Alexandria database. Energies are from PBE-GGA. Values from VASP.

Quantum ESPRESSO input file:
```
&SYSTEM
  ibrav = 0, nat = 8, ntyp = 2
/
ATOMIC_SPECIES
Tl 204.38 Tl.upf
As 74.92 As.upf
CELL_PARAMETERS angstrom
-4.3564 4.3564 4.3564
4.3564 -4.3564 4.3564
4.3564 4.3564 -4.3564
ATOMIC_POSITIONS crystal
Tl 0.0000 0.0000 0.3273
Tl 0.0000 0.3273 0.0000
Tl 0.3273 0.0000 0.0000
Tl 0.6727 0.6727 0.6727
As 0.0000 0.0000 0.6830
As 0.0000 0.6830 0.0000
As 0.3170 0.3170 0.3170
As 0.6830 0.0000 0.0000
```

Results
- Space-group type: I-43m, No. 217
- Final energy: -3.247 eV/atom
- M_tot: 0.0 Bohr magnetons per cell
- ΔH_f (0 K): 0.26 eV/atom

Entry 8:
Here is TlAs3 after structural relaxation from the Alexandria database. Energies are from PBE-GGA. Values from VASP.

Quantum ESPRESSO input file:
```
&SYSTEM
  ibrav = 0, nat = 4, ntyp = 2
/
ATOMIC_SPECIES
Tl 204.38 Tl.upf
As 74.92 As.upf
CELL_PARAMETERS angstrom
2.8951 -3.3214 0.0000
2.8951 3.3214 0.0000
-0.0826 0.0000 5.0485
ATOMIC_POSITIONS crystal
Tl 0.0000 0.0000 0.0000
As 0.3078 0.6922 0.5000
As 0.5000 0.5000 0.0000
As 0.6922 0.3078 0.5000
```

Results
- Space-group type: C2/m, No. 12
- Final energy: -3.873 eV/atom
- M_tot: 0.0 Bohr magnetons per cell
- ΔH_f (0 K): 0.21 eV/atom
- Energy above the lowest structure with this stoichiometry: 47.8 meV per atom

Entry 9:
Here is Tl3As after structural relaxation from the Alexandria database. Energies are from PBE-GGA. Values from VASP.

Quantum ESPRESSO input file:
```
&SYSTEM
  ibrav = 0, nat = 4, ntyp = 2
/
ATOMIC_SPECIES
Tl 204.38 Tl.upf
As 74.92 As.upf
CELL_PARAMETERS angstrom
-2.5437 2.5437 4.4203
2.5437 -2.5437 4.4203
2.5437 2.5437 -4.4203
ATOMIC_POSITIONS crystal
Tl 0.0000 0.0000 0.0000
Tl 0.2500 0.7500 0.5000
Tl 0.7500 0.2500 0.5000
As 0.5000 0.5000 0.0000
```

Results
- Space-group type: I4/mmm, No. 139
- Final energy: -2.848 eV/atom
- M_tot: 0.0 Bohr magnetons per cell
- ΔH_f (0 K): 0.09 eV/atom

Entry 10:
Here is Tl3As after structural relaxation from the Alexandria database. Energies are from PBE-GGA. Values from VASP.

Quantum ESPRESSO input file:
```
&SYSTEM
  ibrav = 0, nat = 8, ntyp = 2
/
ATOMIC_SPECIES
Tl 204.38 Tl.upf
As 74.92 As.upf
CELL_PARAMETERS angstrom
4.0197 -6.9550 0.0000
4.0197 6.9550 0.0000
0.0000 0.0000 4.4830
ATOMIC_POSITIONS crystal
Tl 0.1824 0.3646 0.7500
Tl 0.1821 0.8179 0.7500
Tl 0.3646 0.1824 0.2500
Tl 0.6354 0.8176 0.7500
Tl 0.8179 0.1821 0.2500
Tl 0.8176 0.6354 0.2500
As 0.3334 0.6666 0.2500
As 0.6666 0.3334 0.7500
```

Results
- Space-group type: Cmcm, No. 63
- Final energy: -2.895 eV/atom
- M_tot: 0.0 Bohr magnetons per cell
- ΔH_f (0 K): 0.04 eV/atom

Entry 11:
Here is Tl4As after structural relaxation from the Alexandria database. Energies are from PBE-GGA. Values from VASP.

Quantum ESPRESSO input file:
```
&SYSTEM
  ibrav = 0, nat = 5, ntyp = 2
/
ATOMIC_SPECIES
Tl 204.38 Tl.upf
As 74.92 As.upf
CELL_PARAMETERS angstrom
5.7400 0.0000 0.0000
0.0000 5.7400 0.0000
0.0000 0.0000 5.7400
ATOMIC_POSITIONS crystal
Tl 0.0000 0.0000 0.0000
Tl 0.0000 0.5000 0.5000
Tl 0.5000 0.0000 0.5000
Tl 0.5000 0.5000 0.0000
As 0.5000 0.5000 0.5000
```

Results
- Space-group type: Pm-3m, No. 221
- Final energy: -2.509 eV/atom
- M_tot: 0.0 Bohr magnetons per cell
- ΔH_f (0 K): 0.31 eV/atom
- Energy above the lowest structure with this stoichiometry: 307.1 meV per atom

Entry 12:
Here is TlAs3 after structural relaxation from the Alexandria database. Energies are from PBE-GGA. Values from VASP.

Quantum ESPRESSO input file:
```
&SYSTEM
  ibrav = 0, nat = 4, ntyp = 2
/
ATOMIC_SPECIES
Tl 204.38 Tl.upf
As 74.92 As.upf
CELL_PARAMETERS angstrom
3.6253 0.0000 0.0000
0.0000 3.9066 0.0000
0.0000 0.0000 6.7665
ATOMIC_POSITIONS crystal
Tl 0.0000 0.0000 0.0000
As 0.0000 0.0000 0.5000
As 0.5000 0.5000 0.3188
As 0.5000 0.5000 0.6812
```

Results
- Space-group type: Pmmm, No. 47
- Final energy: -3.829 eV/atom
- M_tot: 0.0 Bohr magnetons per cell
- ΔH_f (0 K): 0.25 eV/atom
- Energy above the lowest structure with this stoichiometry: 90.8 meV per atom